# BaSrMnWO6 PBE with a Hubbard U relaxed
# * total DFT energy (no corrections): -7.2532 eV per atom
# * total magnetic moment: 0.50 μB/atom
data_BaSrMnWO6
_chemical_formula_sum 'Ba4 Sr4 Mn4 W4 O24'
_cell_length_a 8.2578
_cell_length_b 8.2578
_cell_length_c 8.2578
_cell_angle_alpha 90.00
_cell_angle_beta 90.00
_cell_angle_gamma 90.00
_symmetry_space_group_name_H-M 'F -4 3 m'
_symmetry_Int_Tables_number 216
_symmetry_space_group_name_Hall 'F -4 2 3'
loop_
_atom_site_label
_atom_site_type_symbol
_atom_site_fract_x
_atom_site_fract_y
_atom_site_fract_z
_atom_site_occupancy
Ba1 Ba 0.0000 0.0000 0.0000 1
Sr1 Sr 0.0000 0.0000 0.5000 1
Mn1 Mn 0.2500 0.2500 0.2500 1
W1 W 0.2500 0.2500 0.7500 1
O1 O 0.0133 0.2500 0.7500 1